The following is a DFT calculation (GGA+U) of crystalline PuVGaO6 at its relaxed geometry.

Calculated values
D(E_F), states/eV/cell: 11.503
V, Å³ per atom: 11.6
Raw total energy, Ry per atom: -0.598
SG: P-31c

abc: 5.1913 5.1913 8.9565
angles: 90.00 90.00 120.00
Element x y z (fractional)
1 Pu 0.3333 0.6667 0.2500
2 Pu 0.6667 0.3333 0.7500
3 V 0.0000 0.0000 0.0000
4 V 0.0000 0.0000 0.5000
5 Ga 0.6667 0.3333 0.2500
6 Ga 0.3333 0.6667 0.7500
7 O 0.6765 0.6657 0.1278
8 O 0.9892 0.3235 0.1278
9 O 0.3235 0.9892 0.6278
10 O 0.0108 0.6765 0.8722
11 O 0.3343 0.3235 0.3722
12 O 0.9892 0.6657 0.3722
13 O 0.6657 0.9892 0.8722
14 O 0.6765 0.0108 0.3722
15 O 0.0108 0.3343 0.6278
16 O 0.3343 0.0108 0.1278
17 O 0.6657 0.6765 0.6278
18 O 0.3235 0.3343 0.8722